(1)
Entry from the Alexandria database: an optimized crystal structure of SrHgSbCl6 (PBE).

a = 7.2268 Å, b = 7.2268 Å, c = 6.5232 Å
α = 90.00°, β = 90.00°, γ = 120.00°
With the nearest neighbours (Å) after each atom.
Sites, in units of the cell vectors:
Sr (0.0000, 0.0000, 0.0000)  6 Cl 2.92
Hg (0.6667, 0.3333, 0.5000)  6 Cl 3.08
Sb (0.3333, 0.6667, 0.0000)  6 Cl 2.67
Cl (0.0313, 0.3606, 0.2325)  1 Sb 2.67, 1 Sr 2.92
Cl (0.0313, 0.6707, 0.7675)  1 Sb 2.67, 1 Sr 2.92
Cl (0.3293, 0.3606, 0.7675)  1 Sb 2.67, 1 Sr 2.92
Cl (0.3293, 0.9687, 0.2325)  1 Sb 2.67, 1 Sr 2.92
Cl (0.6394, 0.6707, 0.2325)  1 Sb 2.67, 1 Sr 2.92
Cl (0.6394, 0.9687, 0.7675)  1 Sb 2.67, 1 Sr 2.92

Output
As for the formation energy without anion corrections: -10.9 eV per formula unit. As for the space group: P312. The total magnetization comes out at 0.00 μB per formula unit.

(2)
Entry from the Alexandria database: an optimized crystal structure of PrY3Pd (PBE).

a = 7.2484 Å, b = 7.2484 Å, c = 7.9462 Å
α = 119.65°, β = 119.65°, γ = 71.83°
With the nearest neighbours (Å) after each atom.
Sites, in units of the cell vectors:
Pr (0.0410, 0.0410, 0.3069)  1 Pd 2.96
Pr (0.9590, 0.9590, 0.6931)  1 Pd 2.96
Y (0.0953, 0.4980, 0.2628)  2 Pd 2.81-3.05
Y (0.4273, 0.4273, 0.7285)  2 Pd 2.83-3.02
Y (0.4980, 0.0953, 0.2628)  2 Pd 2.81-3.05
Y (0.5020, 0.9047, 0.7372)  2 Pd 2.81-3.05
Y (0.5727, 0.5727, 0.2715)  2 Pd 2.83-3.02
Y (0.9047, 0.5020, 0.7372)  2 Pd 2.81-3.05
Pd (0.2748, 0.2748, 0.9265)  6 Y 2.81-3.05, 1 Pr 2.96
Pd (0.7252, 0.7252, 0.0735)  6 Y 2.81-3.05, 1 Pr 2.96

Output
The value obtained for the energy relative to the lowest polymorph listed for this composition is 0.041 eV/atom. For the formation energy, the calculation gives -1.352 eV/f.u. As for the space group: C2/m. The total magnetization comes out at 0.00 μB per formula unit.

(3)
Entry from the Alexandria database: an optimized crystal structure of CeYEr2 (PBE).

a = 11.5242 Å, b = 11.5242 Å, c = 11.5242 Å
α = 17.65°, β = 17.65°, γ = 17.65°
With the nearest neighbours (Å) after each atom.
Sites, in units of the cell vectors:
Ce (0.0000, 0.0000, 0.0000)  6 Er 3.45-3.48, 6 Ce 3.54
Y (0.8345, 0.8345, 0.8345)  6 Er 3.51-3.54, 6 Y 3.54
Er (0.4161, 0.4161, 0.4161)  3 Ce 3.48, 6 Er 3.54, 3 Y 3.54
Er (0.5850, 0.5850, 0.5850)  3 Ce 3.45, 3 Y 3.51, 6 Er 3.54

Output
The value obtained for the energy relative to the lowest polymorph listed for this composition is 0.012 eV/atom. For the formation energy, the calculation gives 0.154 eV/f.u. As for the space group: R3m. The total magnetization comes out at 0.26 μB per formula unit.

(4)
Entry from the Alexandria database: an optimized crystal structure of AcPmPr2P4 (PBE).

a = 7.3617 Å, b = 4.2511 Å, c = 7.3627 Å
α = 90.00°, β = 109.38°, γ = 90.00°
With the nearest neighbours (Å) after each atom.
Sites, in units of the cell vectors:
Ac (0.0000, 0.0000, 0.0000)  6 P 3.05-3.06
Pm (0.0000, 0.5000, 0.5000)  6 P 2.99
Pr (0.5000, 0.0000, 0.5000)  6 P 2.96
Pr (0.5000, 0.5000, 0.0000)  6 P 3.02
P (0.2511, 0.0000, 0.7434)  3 Pr 2.96-3.02, 2 Pm 2.99, 1 Ac 3.05
P (0.2566, 0.5000, 0.2596)  3 Pr 2.96-3.02, 1 Pm 2.99, 2 Ac 3.06
P (0.7434, 0.5000, 0.7404)  3 Pr 2.96-3.02, 1 Pm 2.99, 2 Ac 3.06
P (0.7489, 0.0000, 0.2566)  3 Pr 2.96-3.02, 2 Pm 2.99, 1 Ac 3.05

Output
For the formation energy, the calculation gives -11.934 eV/f.u. As for the space group: P2/m. The total magnetization comes out at 0.00 μB per formula unit.

(5)
Entry from the Alexandria database: an optimized crystal structure of Sc4AlSn (PBE).

a = 3.3408 Å, b = 5.1953 Å, c = 8.2003 Å
α = 90.00°, β = 90.00°, γ = 90.00°
With the nearest neighbours (Å) after each atom.
Sites, in units of the cell vectors:
Sc (0.0000, 0.0000, 0.1875)  2 Al 3.02, 2 Sn 3.06, 7 Sc 3.08-3.34
Sc (0.0000, 0.0000, 0.8125)  2 Al 3.02, 2 Sn 3.06, 7 Sc 3.08-3.34
Sc (0.5000, 0.5000, 0.2936)  2 Al 2.93, 2 Sn 3.10, 4 Sc 3.21
Sc (0.5000, 0.5000, 0.7064)  2 Al 2.93, 2 Sn 3.10, 4 Sc 3.21
Al (0.0000, 0.5000, 0.0000)  8 Sc 2.93-3.02
Sn (0.5000, 0.0000, 0.5000)  8 Sc 3.06-3.10, 2 Sn 3.34

Output
The value obtained for the energy relative to the lowest polymorph listed for this composition is 0.045 eV/atom. For the formation energy, the calculation gives -0.858 eV/f.u. As for the space group: Pmmm. The total magnetization comes out at 0.75 μB per formula unit.

(6)
Entry from the Alexandria database: an optimized crystal structure of Cd7As (PBE).

a = 6.2835 Å, b = 6.2835 Å, c = 6.2835 Å
α = 60.00°, β = 60.00°, γ = 60.00°
With the nearest neighbours (Å) after each atom.
Sites, in units of the cell vectors:
Cd (0.0000, 0.0000, 0.0000)  12 Cd 3.14
Cd (0.0000, 0.0000, 0.5000)  10 Cd 3.14, 2 As 3.14
Cd (0.0000, 0.5000, 0.0000)  10 Cd 3.14, 2 As 3.14
Cd (0.0000, 0.5000, 0.5000)  10 Cd 3.14, 2 As 3.14
Cd (0.5000, 0.0000, 0.0000)  10 Cd 3.14, 2 As 3.14
Cd (0.5000, 0.0000, 0.5000)  10 Cd 3.14, 2 As 3.14
Cd (0.5000, 0.5000, 0.0000)  10 Cd 3.14, 2 As 3.14
As (0.5000, 0.5000, 0.5000)  12 Cd 3.14

Output
For the formation energy, the calculation gives 0.525 eV/f.u. As for the space group: Fm-3m. The total magnetization comes out at 0.00 μB per formula unit.

(7)
Entry from the Alexandria database: an optimized crystal structure of AlCdPdPt (PBE).

a = 2.9586 Å, b = 2.9586 Å, c = 7.3417 Å
α = 90.00°, β = 90.00°, γ = 90.00°
With the nearest neighbours (Å) after each atom.
Sites, in units of the cell vectors:
Al (0.0000, 0.0000, 0.0000)  4 Pt 2.60, 4 Pd 2.61
Cd (0.0000, 0.0000, 0.5030)  4 Pd 2.95, 4 Cd 2.96, 4 Pt 2.99
Pd (0.5000, 0.5000, 0.7871)  4 Al 2.61
Pt (0.5000, 0.5000, 0.2114)  4 Al 2.60

Output
The value obtained for the energy relative to the lowest polymorph listed for this composition is 0.000 eV/atom. For the formation energy, the calculation gives -2.875 eV/f.u. As for the space group: P4mm. The total magnetization comes out at 0.00 μB per formula unit.

(8)
Entry from the Alexandria database: an optimized crystal structure of LaSb2W (PBE).

a = 3.4689 Å, b = 3.4689 Å, c = 7.8107 Å
α = 90.00°, β = 90.00°, γ = 90.00°
With the nearest neighbours (Å) after each atom.
Sites, in units of the cell vectors:
La (0.0000, 0.0000, 0.0000)  8 Sb 3.38, 4 La 3.47
Sb (0.5000, 0.5000, 0.2972)  4 W 2.92, 1 Sb 3.17
Sb (0.5000, 0.5000, 0.7028)  4 W 2.92, 1 Sb 3.17
W (0.0000, 0.0000, 0.5000)  8 Sb 2.92

Output
As for the formation energy without anion corrections: -0.3 eV per formula unit. The value obtained for the energy relative to the lowest polymorph listed for this composition is 0.078 eV/atom. As for the space group: P4/mmm. The total magnetization comes out at 0.01 μB per formula unit.

(9)
Entry from the Alexandria database: an optimized crystal structure of CaBr2 (PBE).

a = 6.5112 Å, b = 6.5112 Å, c = 6.5112 Å
α = 60.00°, β = 60.00°, γ = 60.00°
With the nearest neighbours (Å) after each atom.
Sites, in units of the cell vectors:
Ca (0.1250, 0.1250, 0.1250)  12 Br 3.82, 4 Ca 3.99
Ca (0.8750, 0.8750, 0.8750)  12 Br 3.82, 4 Ca 3.99
Br (0.0000, 0.5000, 0.5000)  6 Br 3.26
Br (0.5000, 0.0000, 0.5000)  6 Br 3.26
Br (0.5000, 0.5000, 0.0000)  6 Br 3.26
Br (0.5000, 0.5000, 0.5000)  6 Br 3.26

Output
As for the formation energy without anion corrections: -1.5 eV per formula unit. As for the space group: Fd-3m. The total magnetization comes out at 0.00 μB per formula unit.

(10)
Entry from the Alexandria database: an optimized crystal structure of SrTi2Ir (PBE).

a = 9.5426 Å, b = 9.5426 Å, c = 9.5426 Å
α = 150.35°, β = 150.35°, γ = 42.43°
With the nearest neighbours (Å) after each atom.
Sites, in units of the cell vectors:
Sr (0.3750, 0.6250, 0.7500)  4 Ir 3.45, 8 Ti 3.52
Sr (0.6250, 0.3750, 0.2500)  4 Ir 3.45, 8 Ti 3.52
Ti (0.0000, 0.0000, 0.0000)  2 Ti 2.44, 2 Ir 2.54
Ti (0.0000, 0.0000, 0.5000)  2 Ti 2.44, 2 Ir 2.54
Ti (0.0000, 0.5000, 0.0000)  2 Ti 2.44, 2 Ir 2.54
Ti (0.5000, 0.0000, 0.5000)  2 Ti 2.44, 2 Ir 2.54
Ir (0.1250, 0.8750, 0.2500)  4 Ti 2.54
Ir (0.8750, 0.1250, 0.7500)  4 Ti 2.54

Output
The value obtained for the energy relative to the lowest polymorph listed for this composition is 0.213 eV/atom. For the formation energy, the calculation gives 1.744 eV/f.u. As for the space group: I4_1/amd. The total magnetization comes out at 0.00 μB per formula unit.

(11)
Entry from the Alexandria database: an optimized crystal structure of RbTl2Hg (PBE).

a = 5.2025 Å, b = 6.8617 Å, c = 8.1916 Å
α = 90.00°, β = 90.00°, γ = 90.00°
With the nearest neighbours (Å) after each atom.
Sites, in units of the cell vectors:
Rb (0.2500, 0.2500, 0.0836)  4 Hg 3.76-3.91, 6 Tl 3.87-4.08
Rb (0.7500, 0.7500, 0.9164)  4 Hg 3.76-3.91, 6 Tl 3.87-4.08
Tl (0.2500, 0.5039, 0.6330)  3 Hg 3.23-3.40, 4 Tl 3.38-3.48
Tl (0.2500, 0.9961, 0.6330)  3 Hg 3.23-3.40, 4 Tl 3.38-3.48
Tl (0.7500, 0.0039, 0.3670)  3 Hg 3.23-3.40, 4 Tl 3.38-3.48
Tl (0.7500, 0.4961, 0.3670)  3 Hg 3.23-3.40, 4 Tl 3.38-3.48
Hg (0.2500, 0.7500, 0.2721)  6 Tl 3.23-3.40
Hg (0.7500, 0.2500, 0.7279)  6 Tl 3.23-3.40

Output
The value obtained for the energy relative to the lowest polymorph listed for this composition is 0.000 eV/atom. For the formation energy, the calculation gives -0.398 eV/f.u. As for the space group: Pmmn. The total magnetization comes out at 0.00 μB per formula unit.

(12)
Entry from the Alexandria database: an optimized crystal structure of Y2Ho3Tm2 (PBE).

a = 7.9008 Å, b = 7.9008 Å, c = 8.6466 Å
α = 111.47°, β = 111.47°, γ = 25.74°
With the nearest neighbours (Å) after each atom.
Sites, in units of the cell vectors:
Y (0.0715, 0.0715, 0.2134)  3 Y 3.52, 5 Ho 3.53-3.54, 4 Tm 3.54-3.55
Y (0.9285, 0.9285, 0.7866)  3 Y 3.52, 5 Ho 3.53-3.54, 4 Tm 3.54-3.55
Ho (0.2134, 0.2134, 0.6428)  3 Tm 3.51-3.53, 6 Ho 3.52-3.54, 3 Y 3.53-3.54
Ho (0.5000, 0.5000, 0.5000)  6 Ho 3.52, 2 Tm 3.53, 4 Y 3.54
Ho (0.7866, 0.7866, 0.3572)  3 Tm 3.51-3.53, 6 Ho 3.52-3.54, 3 Y 3.53-3.54
Tm (0.3558, 0.3558, 0.0718)  4 Tm 3.50-3.52, 4 Ho 3.51-3.53, 4 Y 3.54-3.55
Tm (0.6442, 0.6442, 0.9282)  4 Tm 3.50-3.52, 4 Ho 3.51-3.53, 4 Y 3.54-3.55

Output
For the formation energy, the calculation gives 0.176 eV/f.u. As for the space group: C2/m. The total magnetization comes out at 0.00 μB per formula unit.